No. 1
Density functional theory data (PBE) for LaCrInRu2 after structural relaxation.

Lattice parameters (Å, degrees): 4.841 5.074 4.841 90.00 90.00 90.00
Site moments in Bohr magnetons follow the coordinates.
Element x y z (fractional)
In  0.500  0.500  0.500  0.02
La  0.000  0.000  0.000  0.12
Cr  0.000  0.500  0.000  3.73
Ru  0.500  0.000  0.000  0.68
Ru  0.000  0.000  0.500  0.89

Summary:
electronic total energy	-28.3	eV for the cell shown
calculated formation energy	7.58	eV/f.u.
Fermi-level density of states	4.146	states/eV/cell

=====

No. 2
Density functional theory data (PBE) for LaCr2InRu after structural relaxation.

Lattice parameters (Å, degrees): 4.841 4.841 5.402 90.00 90.00 90.00
Site moments in Bohr magnetons follow the coordinates.
Element x y z (fractional)
In  0.500  0.500  0.500  -0.11
Cr  0.500  0.000  0.000  3.32
Cr  0.000  0.500  0.000  3.32
Ru  0.000  0.000  0.000  -0.41
La  0.000  0.000  0.500  -0.09

Summary:
electronic total energy	-33.1	eV for the cell shown
calculated formation energy	3.05	eV/f.u.
Fermi-level density of states	5.441	states/eV/cell

=====

No. 3
Density functional theory data (PBE) for LaTaCr2In after structural relaxation.

Lattice parameters (Å, degrees): 4.839 5.168 4.839 90.00 90.00 90.00
Element x y z (fractional)
Ta  0.000  0.500  0.000
La  0.500  0.500  0.500
Cr  0.000  0.000  0.500
Cr  0.500  0.000  0.000
In  0.000  0.000  0.000

Summary:
electronic total energy	-29.9	eV for the cell shown
calculated formation energy	8.82	eV/f.u.
Fermi-level density of states	11.014	states/eV/cell

=====

No. 4
Density functional theory data (PBE) for LaCrInTc2 after structural relaxation.

Lattice parameters (Å, degrees): 4.580 5.090 4.580 90.00 90.00 90.00
Element x y z (fractional)
In  0.500  0.500  0.500
Cr  0.000  0.000  0.000
Tc  0.000  0.000  0.500
Tc  0.500  0.000  0.000
La  0.000  0.500  0.000

Summary:
electronic total energy	-34.1	eV for the cell shown
calculated formation energy	3.88	eV/f.u.
Fermi-level density of states	4.304	states/eV/cell

=====

No. 5
Density functional theory data (PBE) for LaVCrIn2 after structural relaxation.

Lattice parameters (Å, degrees): 5.842 4.739 5.842 90.00 90.00 90.00
Site moments in Bohr magnetons follow the coordinates.
Element x y z (fractional)
In  0.500  0.000  0.000  0.02
In  0.000  0.000  0.500  0.01
La  0.000  0.000  0.000  -0.06
V  0.000  0.500  0.000  -1.58
Cr  0.500  0.500  0.500  -0.34

Summary:
electronic total energy	-18.9	eV for the cell shown
calculated formation energy	10.23	eV/f.u.
Fermi-level density of states	7.871	states/eV/cell

=====

No. 6
Density functional theory data (PBE) for LaY2CrIn after structural relaxation.

Lattice parameters (Å, degrees): 5.705 5.705 6.006 90.00 90.00 90.00
Site moments in Bohr magnetons follow the coordinates.
Element x y z (fractional)
Y  0.000  0.500  0.000  0.15
Y  0.500  0.000  0.000  0.15
Cr  0.500  0.500  0.500  4.10
In  0.000  0.000  0.000  0.06
La  0.000  0.000  0.500  0.12

Summary:
electronic total energy	-26.4	eV for the cell shown
calculated formation energy	3.77	eV/f.u.
Fermi-level density of states	7.878	states/eV/cell

=====

No. 7
Density functional theory data (PBE) for LaZrCrIn2 after structural relaxation.

Lattice parameters (Å, degrees): 5.539 4.743 5.539 90.00 90.00 90.00
Site moments in Bohr magnetons follow the coordinates.
Element x y z (fractional)
In  0.000  0.000  0.500  -0.06
In  0.500  0.000  0.000  -0.06
La  0.500  0.500  0.500  0.04
Zr  0.000  0.000  0.000  -0.34
Cr  0.000  0.500  0.000  2.93

Summary:
electronic total energy	-26.4	eV for the cell shown
calculated formation energy	2.14	eV/f.u.
Fermi-level density of states	4.482	states/eV/cell

=====

No. 8
Density functional theory data (PBE) for LiCr4In after structural relaxation.

Lattice parameters (Å, degrees): 4.902 4.902 4.902 60.00 60.00 60.00
Element x y z (fractional)
In  0.250  0.250  0.250
Cr  0.114  0.629  0.629
Cr  0.629  0.114  0.629
Cr  0.629  0.629  0.114
Cr  0.629  0.629  0.629
Li  0.000  0.000  0.000

Summary:
electronic total energy	-40.5	eV for the cell shown
calculated formation energy	2.64	eV/f.u.
Fermi-level density of states	8.878	states/eV/cell